# 1
Compound: Nb3NiAs
Source: Alexandria via LeMat-Bulk
Functional: GGA-PBE
Structure: relaxed

Computed properties:
V   97.94 Å³ per cell
N(E_F)   0.83 states/eV per atom
Total magnetic moment   0.00 μB/f.u.
Total DFT energy (no corrections)   -7.411 eV/atom
Relative energy among the computed polymorphs   0 meV per atom

Structure (POSCAR):
```
Nb3NiAs
1.0
4.6096 0.0000 0.0000
0.0000 4.6096 0.0000
0.0000 0.0000 4.6096
Nb Ni As
3 1 1
direct
0.5000 0.0000 0.0000
0.0000 0.0000 0.5000
0.0000 0.5000 0.0000
0.0000 0.0000 0.0000
0.5000 0.5000 0.5000
```



# 2
Compound: NbNi2As
Source: Alexandria via LeMat-Bulk
Functional: GGA-PBE
Structure: relaxed

Computed properties:
V   119.45 Å³ per cell
N(E_F)   0.66 states/eV per atom
Total magnetic moment   0.00 μB/f.u.
Total DFT energy (no corrections)   -6.548 eV/atom

Structure (POSCAR):
```
NbNi2As
1.0
3.7091 0.0000 0.0000
0.0000 3.7091 0.0000
1.8545 1.8545 8.6827
Ni As Nb
4 2 2
direct
0.1416 0.6250 0.2500
0.6084 0.1250 0.2500
0.8750 0.8584 0.7500
0.3750 0.3916 0.7500
0.2500 0.7500 0.5000
0.5000 0.5000 0.0000
0.7500 0.2500 0.5000
0.0000 0.0000 0.0000
```



# 3
Compound: NbNi3As
Source: Alexandria via LeMat-Bulk
Functional: GGA-PBE
Structure: relaxed

Computed properties:
V   93.41 Å³ per cell
N(E_F)   1.07 states/eV per atom
Total magnetic moment   0.00 μB/f.u.
Total DFT energy (no corrections)   -5.116 eV/atom
Relative energy among the computed polymorphs   797 meV per atom

Structure (POSCAR):
```
NbNi3As
1.0
-1.5443 -2.2414 -3.6302
3.9224 0.7730 -2.1458
1.6785 -3.8685 1.6746
Ni Nb As
3 1 1
direct
0.0000 0.5000 0.0000
0.0000 0.0000 0.5000
0.5000 0.0000 0.0000
0.0000 0.0000 0.0000
0.5000 0.5000 0.5000
```



# 4
Compound: NbNiAs3
Source: Alexandria via LeMat-Bulk
Functional: GGA-PBE
Structure: relaxed

Computed properties:
V   94.17 Å³ per cell
N(E_F)   1.17 states/eV per atom
Total magnetic moment   0.00 μB/f.u.
Total DFT energy (no corrections)   -5.399 eV/atom
Relative energy among the computed polymorphs   0 meV per atom

Structure (POSCAR):
```
NbNiAs3
1.0
4.5496 0.0000 0.0000
0.0000 4.5496 0.0000
0.0000 0.0000 4.5496
As Nb Ni
3 1 1
direct
0.0000 0.0000 0.5000
0.5000 0.0000 0.0000
0.0000 0.5000 0.0000
0.5000 0.5000 0.5000
0.0000 0.0000 0.0000
```



# 5
Compound: NbNi9As2
Source: Alexandria via LeMat-Bulk
Functional: GGA-PBE
Structure: relaxed

Computed properties:
V   143.25 Å³ per cell
N(E_F)   0.83 states/eV per atom
Total magnetic moment   0.00 μB/f.u.
Total DFT energy (no corrections)   -6.136 eV/atom

Structure (POSCAR):
```
NbNi9As2
1.0
-2.5043 -2.6237 0.1233
1.4781 -1.2670 3.0627
-6.5073 6.4848 5.8233
As Ni Nb
2 9 1
direct
0.0000 0.0000 0.3396
0.0000 0.0000 0.6604
0.5000 0.5000 0.0000
0.5000 0.5000 0.3352
0.0000 0.5000 0.5000
0.0000 0.5000 0.8312
0.5000 0.5000 0.6648
0.5000 0.0000 0.5000
0.5000 0.0000 0.1688
0.0000 0.5000 0.1688
0.5000 0.0000 0.8312
0.0000 0.0000 0.0000
```



# 6
Compound: NbNiAs2
Source: Alexandria via LeMat-Bulk
Functional: GGA-PBE
Structure: relaxed

Computed properties:
V   170.93 Å³ per cell
N(E_F)   0.82 states/eV per atom
Total magnetic moment   0.00 μB/f.u.
Total DFT energy (no corrections)   -6.193 eV/atom

Structure (POSCAR):
```
NbNiAs2
1.0
-1.6156 4.7585 -2.8746
-0.2137 -3.0445 -4.9196
-5.8082 -0.2588 -2.9940
As Ni Nb
4 2 2
direct
0.5944 0.1250 0.2500
0.3750 0.4056 0.7500
0.8750 0.8444 0.7500
0.1556 0.6250 0.2500
0.5000 0.5000 0.0000
0.2500 0.7500 0.5000
0.0000 0.0000 0.0000
0.7500 0.2500 0.5000
```



# 7
Compound: Nb3NiAs2
Source: Alexandria via LeMat-Bulk
Functional: GGA-PBE
Structure: relaxed

Computed properties:
V   388.92 Å³ per cell
N(E_F)   0.47 states/eV per atom
Total magnetic moment   0.00 μB/f.u.
Total DFT energy (no corrections)   -7.983 eV/atom

Structure (POSCAR):
```
Nb3NiAs2
1.0
-3.6118 0.9095 0.2014
-1.1406 -6.2241 7.6503
2.3288 7.7712 6.6697
Nb As Ni
12 8 4
direct
0.7500 0.6141 0.9546
0.7500 0.8859 0.4546
0.2500 0.3859 0.0454
0.7500 0.5782 0.6281
0.7500 0.9218 0.1281
0.2500 0.0782 0.8719
0.2500 0.7127 0.2087
0.7500 0.2127 0.2913
0.2500 0.4218 0.3719
0.2500 0.1141 0.5454
0.2500 0.7873 0.7087
0.7500 0.2873 0.7913
0.2500 0.8097 0.9754
0.2500 0.6903 0.4754
0.2500 0.5061 0.8090
0.7500 0.4939 0.1910
0.7500 0.0061 0.6910
0.7500 0.3097 0.5246
0.7500 0.1903 0.0246
0.2500 0.9939 0.3090
0.2500 0.1207 0.1275
0.2500 0.3793 0.6275
0.7500 0.6207 0.3725
0.7500 0.8793 0.8725
```



# 8
Compound: NbNi2As
Source: Alexandria via LeMat-Bulk
Functional: GGA-PBE
Structure: relaxed

Computed properties:
V   56.45 Å³ per cell
N(E_F)   0.39 states/eV per atom
Total magnetic moment   0.00 μB/f.u.
Total DFT energy (no corrections)   -6.816 eV/atom

Structure (POSCAR):
```
NbNi2As
1.0
4.0303 0.0000 0.0000
0.0000 2.8166 0.2581
0.0000 -0.4490 4.9316
Ni Nb As
2 1 1
direct
0.0000 0.0000 0.2405
0.0000 0.0000 0.7595
0.5000 0.5000 0.0000
0.5000 0.0000 0.5000
```



# 9
Compound: NbNi3As
Source: Alexandria via LeMat-Bulk
Functional: GGA-PBE
Structure: relaxed

Computed properties:
V   78.38 Å³ per cell
N(E_F)   1.05 states/eV per atom
Total magnetic moment   1.66 μB/f.u.
Total DFT energy (no corrections)   -5.913 eV/atom
Relative energy among the computed polymorphs   0 meV per atom

Structure (POSCAR):
```
NbNi3As
1.0
-2.4572 2.2466 -2.6887
-2.0494 -3.5852 -1.1228
-2.8419 0.6429 3.1344
Nb Ni As
1 3 1
direct
0.5000 0.5000 0.5000
0.0000 0.5000 0.0000
0.5000 0.0000 0.0000
0.0000 0.0000 0.5000
0.0000 0.0000 0.0000
```



# 10
Compound: Nb4NiAs
Source: Alexandria via LeMat-Bulk
Functional: GGA-PBE
Structure: relaxed

Computed properties:
V   199.54 Å³ per cell
N(E_F)   1.02 states/eV per atom
Total magnetic moment   0.00 μB/f.u.
Total DFT energy (no corrections)   -8.748 eV/atom

Structure (POSCAR):
```
Nb4NiAs
1.0
-0.2295 2.8819 -4.1920
-5.9580 -1.7192 -0.8556
-1.8995 4.8661 3.4494
As Nb Ni
2 8 2
direct
0.2500 0.0000 0.0000
0.7500 0.0000 0.0000
0.5000 0.3494 0.8332
0.0000 0.3494 0.1668
0.5000 0.8332 0.6506
0.0000 0.8332 0.3494
0.5000 0.6506 0.1668
0.0000 0.6506 0.8332
0.0000 0.1668 0.6506
0.5000 0.1668 0.3494
0.7500 0.5000 0.5000
0.2500 0.5000 0.5000
```



# 11
Compound: RbNbNiAs3
Source: Alexandria via LeMat-Bulk
Functional: GGA-PBE
Structure: relaxed

Computed properties:
V   279.46 Å³ per cell
N(E_F)   0.33 states/eV per atom
Total magnetic moment   0.00 μB/f.u.
Total DFT energy (no corrections)   -5.512 eV/atom

Structure (POSCAR):
```
RbNbNiAs3
1.0
3.8900 0.0000 0.0000
0.0000 9.3181 -1.0301
0.0000 -5.4600 8.3134
Ni As Rb Nb
2 6 2 2
direct
0.2500 0.1090 0.5939
0.7500 0.8910 0.4061
0.2500 0.4944 0.8111
0.7500 0.2086 0.5298
0.2500 0.1208 0.8444
0.7500 0.5056 0.1889
0.7500 0.8792 0.1556
0.2500 0.7914 0.4702
0.7500 0.7505 0.7410
0.2500 0.2495 0.2590
0.2500 0.6896 0.1466
0.7500 0.3104 0.8534
```



# 12
Compound: SrNbNiAs2
Source: Alexandria via LeMat-Bulk
Functional: GGA-PBE
Structure: relaxed

Computed properties:
V   105.69 Å³ per cell
N(E_F)   0.82 states/eV per atom
Total magnetic moment   0.00 μB/f.u.
Total DFT energy (no corrections)   -6.047 eV/atom

Structure (POSCAR):
```
SrNbNiAs2
1.0
4.0265 0.0000 0.0000
0.0000 4.0265 0.0000
-2.0133 -2.0133 6.5188
As Ni Nb Sr
2 1 1 1
direct
0.3670 0.3670 0.7340
0.6330 0.6330 0.2660
0.2500 0.7500 0.5000
0.7500 0.2500 0.5000
0.0000 0.0000 0.0000
```



# 13
Compound: ThNbNi2As2
Source: Alexandria via LeMat-Bulk
Functional: GGA-PBE
Structure: relaxed

Computed properties:
V   103.56 Å³ per cell
N(E_F)   0.37 states/eV per atom
Total magnetic moment   0.00 μB/f.u.
Total DFT energy (no corrections)   -7.115 eV/atom

Structure (POSCAR):
```
ThNbNi2As2
1.0
-0.7233 -0.7402 3.8600
3.7564 0.0059 -1.3637
0.5341 7.3155 1.5030
Th As Ni Nb
1 2 2 1
direct
0.0000 0.0000 0.0000
0.3333 0.6667 0.2705
0.6667 0.3333 0.7295
0.3333 0.6667 0.7041
0.6667 0.3333 0.2959
0.0000 0.0000 0.5000
```



# 14
Compound: ZrNbNi2As
Source: Alexandria via LeMat-Bulk
Functional: GGA-PBE
Structure: relaxed

Computed properties:
V   105.09 Å³ per cell
N(E_F)   0.82 states/eV per atom
Total magnetic moment   0.00 μB/f.u.
Total DFT energy (no corrections)   -5.915 eV/atom

Structure (POSCAR):
```
ZrNbNi2As
1.0
-3.5638 2.5089 -1.0944
-2.2676 -1.2520 4.5140
1.9128 3.5679 1.9504
Zr Nb As Ni
1 1 1 2
direct
0.0000 0.5000 0.0000
0.0000 0.0000 0.0000
0.5000 0.5000 0.5000
0.0000 0.0000 0.5000
0.5000 0.0000 0.0000
```



# 15
Compound: NpNb2As
Source: Alexandria via LeMat-Bulk
Functional: GGA-PBE
Structure: relaxed

Computed properties:
V   76.96 Å³ per cell
N(E_F)   1.87 states/eV per atom
Total magnetic moment   3.34 μB/f.u.
Total DFT energy (no corrections)   -9.046 eV/atom

Structure (POSCAR):
```
NpNb2As
1.0
2.9854 0.0000 0.0000
1.4927 2.5854 0.0000
1.4927 0.8618 9.9708
As Nb Np
1 2 1
direct
0.5000 0.5000 0.5000
0.9043 0.9043 0.2871
0.0957 0.0957 0.7129
0.0000 0.0000 0.0000
```



# 16
Compound: Np2NbAs4
Source: Alexandria via LeMat-Bulk
Functional: GGA-PBE
Structure: relaxed

Computed properties:
V   153.76 Å³ per cell
N(E_F)   2.32 states/eV per atom
Total magnetic moment   7.38 μB/f.u.
Total DFT energy (no corrections)   -8.175 eV/atom

Structure (POSCAR):
```
Np2NbAs4
1.0
-1.5210 3.4691 -0.6721
-3.4648 -1.3204 1.0256
1.8746 2.7298 9.8476
As Np Nb
4 2 1
direct
0.5000 0.0000 0.1672
0.0000 0.5000 0.8328
0.5000 0.5000 0.5000
0.0000 0.0000 0.5000
0.0000 0.5000 0.2783
0.5000 0.0000 0.7217
0.5000 0.5000 0.0000
```



# 17
Compound: Nb2AsO
Source: Alexandria via LeMat-Bulk
Functional: GGA-PBE
Structure: relaxed

Computed properties:
V   145.92 Å³ per cell
N(E_F)   1.23 states/eV per atom
Formation energy (no corrections)   -0.641 eV/atom
Total magnetic moment   0.00 μB/f.u.
Total DFT energy (no corrections)   -8.078 eV/atom
Relative energy among the computed polymorphs   0 meV per atom

Structure (POSCAR):
```
Nb2AsO
1.0
4.8438 0.0000 0.0000
0.0000 4.8438 0.0000
2.4219 2.4219 6.2195
Nb O As
4 2 2
direct
0.8750 0.7754 0.7500
0.3750 0.4746 0.7500
0.2246 0.6250 0.2500
0.5254 0.1250 0.2500
0.5000 0.5000 0.0000
0.2500 0.7500 0.5000
0.7500 0.2500 0.5000
0.0000 0.0000 0.0000
```



# 18
Compound: NbAsO5
Source: Alexandria via LeMat-Bulk
Functional: GGA-PBE
Structure: relaxed

Computed properties:
V   463.87 Å³ per cell
N(E_F)   0.00 states/eV per atom
Formation energy (no corrections)   -1.857 eV/atom
Total magnetic moment   0.00 μB/f.u.
Total DFT energy (no corrections)   -7.501 eV/atom

Structure (POSCAR):
```
NbAsO5
1.0
5.5984 0.0000 0.0000
0.0000 6.9886 0.0000
0.0000 0.0000 11.8559
O Nb As
20 4 4
direct
0.5000 0.5000 0.0000
0.0000 0.0000 0.5000
0.5016 0.1519 0.8772
0.2500 0.9826 0.7045
0.7500 0.3113 0.5864
0.7500 0.1887 0.0864
0.9984 0.3481 0.3772
0.0016 0.6519 0.6228
0.2500 0.8113 0.9136
0.5016 0.3481 0.3772
0.9984 0.1519 0.8772
0.2500 0.5174 0.2045
0.4984 0.8481 0.1228
0.2500 0.6887 0.4136
0.5000 0.0000 0.5000
0.7500 0.4826 0.7955
0.0000 0.5000 0.0000
0.4984 0.6519 0.6228
0.0016 0.8481 0.1228
0.7500 0.0174 0.2955
0.7500 0.3394 0.9409
0.7500 0.1606 0.4409
0.2500 0.6606 0.0591
0.2500 0.8394 0.5591
0.7500 0.5275 0.6536
0.2500 0.0275 0.8464
0.7500 0.9725 0.1536
0.2500 0.4725 0.3464
```



# 19
Compound: Nb9AsO25
Source: Alexandria via LeMat-Bulk
Functional: GGA-PBE
Structure: relaxed

Computed properties:
V   496.93 Å³ per cell
N(E_F)   0.00 states/eV per atom
Formation energy (no corrections)   -2.416 eV/atom
Total magnetic moment   0.00 μB/f.u.
Total DFT energy (no corrections)   -8.679 eV/atom

Structure (POSCAR):
```
Nb9AsO25
1.0
-1.2645 -7.5520 8.5481
1.9326 -8.9864 6.8711
6.7497 -1.7808 14.3910
O Nb As
25 9 1
direct
0.4889 0.5111 0.0000
0.7570 0.7444 0.6371
0.9452 0.9524 0.9352
0.8395 0.8106 0.3922
0.4343 0.4609 0.6263
0.2039 0.2305 0.9579
0.0881 0.0598 0.4784
0.6065 0.6178 0.1386
0.1527 0.1634 0.1948
0.7695 0.7961 0.0421
0.3588 0.3468 0.4892
0.0033 0.0207 0.7079
0.7298 0.7101 0.2680
0.2899 0.2702 0.7320
0.5391 0.5657 0.3737
0.3822 0.3935 0.8614
0.6532 0.6412 0.5108
0.1894 0.1605 0.6078
0.8366 0.8473 0.8052
0.9793 0.9967 0.2921
0.0476 0.0548 0.0648
0.8806 0.8873 0.1672
0.9402 0.9119 0.5216
0.1127 0.1194 0.8328
0.2556 0.2430 0.3629
0.9596 0.0404 0.0000
0.8906 0.8957 0.8889
0.1078 0.1233 0.5584
0.8767 0.8922 0.4416
0.3345 0.3175 0.7895
0.7857 0.7785 0.3249
0.6825 0.6655 0.2105
0.1043 0.1094 0.1111
0.2215 0.2143 0.6752
0.2504 0.7496 0.5000
```



# 20
Compound: NbAsO
Source: Alexandria via LeMat-Bulk
Functional: GGA-PBE
Structure: relaxed

Computed properties:
V   420.08 Å³ per cell
N(E_F)   0.36 states/eV per atom
Formation energy (no corrections)   -1.069 eV/atom
Total magnetic moment   0.00 μB/f.u.
Total DFT energy (no corrections)   -7.628 eV/atom

Structure (POSCAR):
```
NbAsO
1.0
6.0408 0.0000 0.0000
-2.0136 8.9609 0.0000
-2.0136 -4.4805 7.7604
As O Nb
6 6 6
direct
0.7777 0.7043 0.1614
0.0734 0.4571 0.2957
0.6163 0.8386 0.5429
0.9266 0.5429 0.7043
0.3837 0.1614 0.4571
0.2223 0.2957 0.8386
0.5014 0.3151 0.2157
0.1863 0.9006 0.6849
0.8137 0.0994 0.3151
0.2857 0.7843 0.0994
0.7143 0.2157 0.9006
0.4986 0.6849 0.7843
0.5581 0.9268 0.3137
0.3688 0.6131 0.9268
0.7557 0.3137 0.3869
0.6312 0.3869 0.0732
0.2443 0.6863 0.6131
0.4419 0.0732 0.6863
```